No. 1
! Y2IrOs | the Alexandria database | GGA-PBE | optimized geometry; values from VASP
! Crystal system: tetragonal
! ΔE_f (eV per atom): -0.112
! Density of states at the Fermi level (states/eV per atom): 1.01
! Space-group type: No. 119
! E_tot (eV per atom): -8.37
&SYSTEM
  ibrav = 0, nat = 4, ntyp = 3
/
ATOMIC_SPECIES
Y 88.91 Y.upf
Ir 192.22 Ir.upf
Os 190.23 Os.upf
ATOMIC_POSITIONS crystal
Y 0.0000 0.0000 0.0000
Y 0.7500 0.2500 0.5000
Ir 0.2500 0.7500 0.5000
Os 0.5000 0.5000 0.0000
CELL_PARAMETERS angstrom
-2.0323 2.0323 4.9077
2.0323 -2.0323 4.9077
2.0323 2.0323 -4.9077

---

No. 2
! YIrOs2 | the Alexandria database | GGA-PBE | optimized geometry; values from VASP
! Crystal system: tetragonal
! ΔE_f (eV per atom): 0.048
! Density of states at the Fermi level (states/eV per atom): 0.96
! Polymorph energy (0 for the lowest one) (eV/atom): 0.000
! Space-group type: No. 99
! E_tot (eV per atom): -9.40
&SYSTEM
  ibrav = 0, nat = 4, ntyp = 3
/
ATOMIC_SPECIES
Y 88.91 Y.upf
Ir 192.22 Ir.upf
Os 190.23 Os.upf
ATOMIC_POSITIONS crystal
Y 0.0000 0.0000 0.0000
Ir 0.5000 0.5000 0.2792
Os 0.0000 0.0000 0.5052
Os 0.5000 0.5000 0.7126
CELL_PARAMETERS angstrom
2.9092 0.0000 0.0000
0.0000 2.9092 0.0000
0.0000 0.0000 8.0103

---

No. 3
! ZnIr3Os | the Alexandria database | GGA-PBE | optimized geometry; values from VASP
! Crystal system: cubic
! ΔE_f (eV per atom): 1.962
! Density of states at the Fermi level (states/eV per atom): 1.73
! Polymorph energy (0 for the lowest one) (eV/atom): 0.216
! Space-group type: No. 221
! E_tot (eV per atom): -5.86
&SYSTEM
  ibrav = 0, nat = 5, ntyp = 3
/
ATOMIC_SPECIES
Zn 65.41 Zn.upf
Ir 192.22 Ir.upf
Os 190.23 Os.upf
ATOMIC_POSITIONS crystal
Zn 0.0000 0.0000 0.0000
Ir 0.0000 0.0000 0.5000
Ir 0.0000 0.5000 0.0000
Ir 0.5000 0.0000 0.0000
Os 0.5000 0.5000 0.5000
CELL_PARAMETERS angstrom
4.4326 0.0000 0.0000
0.0000 4.4326 0.0000
0.0000 0.0000 4.4326

---

No. 4
! ZnIr3Os | the Alexandria database | GGA-PBE | optimized geometry; values from VASP
! Crystal system: cubic
! ΔE_f (eV per atom): 1.746
! Density of states at the Fermi level (states/eV per atom): 0.97
! Polymorph energy (0 for the lowest one) (eV/atom): 0.000
! Space-group type: No. 221
! E_tot (eV per atom): -6.07
&SYSTEM
  ibrav = 0, nat = 5, ntyp = 3
/
ATOMIC_SPECIES
Zn 65.41 Zn.upf
Ir 192.22 Ir.upf
Os 190.23 Os.upf
ATOMIC_POSITIONS crystal
Zn 0.0000 0.0000 0.0000
Ir 0.0000 0.5000 0.5000
Ir 0.5000 0.0000 0.5000
Ir 0.5000 0.5000 0.0000
Os 0.5000 0.5000 0.5000
CELL_PARAMETERS angstrom
4.7436 0.0000 0.0000
0.0000 4.7436 0.0000
0.0000 0.0000 4.7436

---

No. 5
! Zr2IrOs | the Alexandria database | GGA-PBE | optimized geometry; values from VASP
! Crystal system: tetragonal
! ΔE_f (eV per atom): 0.419
! Density of states at the Fermi level (states/eV per atom): 1.60
! Polymorph energy (0 for the lowest one) (eV/atom): 1.061
! Space-group type: No. 122
! E_tot (eV per atom): -8.88
&SYSTEM
  ibrav = 0, nat = 8, ntyp = 3
/
ATOMIC_SPECIES
Zr 91.22 Zr.upf
Ir 192.22 Ir.upf
Os 190.23 Os.upf
ATOMIC_POSITIONS crystal
Zr 0.1231 0.6250 0.9981
Zr 0.3750 0.3731 0.4981
Zr 0.6269 0.1250 0.0019
Zr 0.8750 0.8769 0.5019
Ir 0.2500 0.7500 0.5000
Ir 0.5000 0.5000 0.0000
Os 0.0000 0.0000 0.0000
Os 0.7500 0.2500 0.5000
CELL_PARAMETERS angstrom
-2.1467 2.1467 8.8021
2.1467 -2.1467 8.8021
2.1467 2.1467 -8.8021

---

No. 6
! ZrIrOs4 | the Alexandria database | GGA-PBE | optimized geometry; values from VASP
! Crystal system: cubic
! ΔE_f (eV per atom): 0.207
! Density of states at the Fermi level (states/eV per atom): 1.64
! Space-group type: No. 216
! E_tot (eV per atom): -10.18
&SYSTEM
  ibrav = 0, nat = 6, ntyp = 3
/
ATOMIC_SPECIES
Zr 91.22 Zr.upf
Ir 192.22 Ir.upf
Os 190.23 Os.upf
ATOMIC_POSITIONS crystal
Zr 0.0000 0.0000 0.0000
Ir 0.7500 0.7500 0.7500
Os 0.3767 0.3767 0.3767
Os 0.3767 0.3767 0.8698
Os 0.3767 0.8698 0.3767
Os 0.8698 0.3767 0.3767
CELL_PARAMETERS angstrom
0.0000 3.6533 3.6533
3.6533 0.0000 3.6533
3.6533 3.6533 0.0000

---

No. 7
! Zr2IrOs | the Alexandria database | GGA-PBE | optimized geometry; values from VASP
! Crystal system: orthorhombic
! ΔE_f (eV per atom): -0.634
! Density of states at the Fermi level (states/eV per atom): 0.57
! Polymorph energy (0 for the lowest one) (eV/atom): 0.008
! Space-group type: No. 65
! E_tot (eV per atom): -9.93
&SYSTEM
  ibrav = 0, nat = 4, ntyp = 3
/
ATOMIC_SPECIES
Zr 91.22 Zr.upf
Ir 192.22 Ir.upf
Os 190.23 Os.upf
ATOMIC_POSITIONS crystal
Zr 0.0000 0.5000 0.0000
Zr 0.5000 0.0000 0.0000
Ir 0.0000 0.0000 0.5000
Os 0.5000 0.5000 0.5000
CELL_PARAMETERS angstrom
3.2153 -3.3810 0.0000
3.2153 3.3810 0.0000
0.0000 0.0000 3.2985

---

No. 8
! Zr2IrOs | the Alexandria database | GGA-PBE | optimized geometry; values from VASP
! Crystal system: trigonal
! ΔE_f (eV per atom): -0.178
! Density of states at the Fermi level (states/eV per atom): 0.94
! Polymorph energy (0 for the lowest one) (eV/atom): 0.464
! Space-group type: No. 166
! E_tot (eV per atom): -9.47
&SYSTEM
  ibrav = 0, nat = 4, ntyp = 3
/
ATOMIC_SPECIES
Zr 91.22 Zr.upf
Ir 192.22 Ir.upf
Os 190.23 Os.upf
ATOMIC_POSITIONS crystal
Zr 0.2482 0.2482 0.2482
Zr 0.7518 0.7518 0.7518
Ir 0.0000 0.0000 0.0000
Os 0.5000 0.5000 0.5000
CELL_PARAMETERS angstrom
1.5941 0.9204 8.4249
-1.5941 0.9204 8.4249
0.0000 -1.8407 8.4249

---

No. 9
! ZrIrOs2 | the Alexandria database | GGA-PBE | optimized geometry; values from VASP
! Crystal system: tetragonal
! ΔE_f (eV per atom): -0.236
! Density of states at the Fermi level (states/eV per atom): 1.41
! Polymorph energy (0 for the lowest one) (eV/atom): 0.000
! Space-group type: No. 123
! E_tot (eV per atom): -10.20
&SYSTEM
  ibrav = 0, nat = 4, ntyp = 3
/
ATOMIC_SPECIES
Zr 91.22 Zr.upf
Ir 192.22 Ir.upf
Os 190.23 Os.upf
ATOMIC_POSITIONS crystal
Zr 0.0000 0.0000 0.0000
Ir 0.5000 0.5000 0.0000
Os 0.0000 0.5000 0.5000
Os 0.5000 0.0000 0.5000
CELL_PARAMETERS angstrom
3.9610 0.0000 0.0000
0.0000 3.9610 0.0000
0.0000 0.0000 4.0428

---

No. 10
! ZrIrOs2 | the Alexandria database | GGA-PBE | optimized geometry; values from VASP
! Crystal system: cubic
! ΔE_f (eV per atom): 0.248
! Density of states at the Fermi level (states/eV per atom): 1.34
! Polymorph energy (0 for the lowest one) (eV/atom): 0.484
! Space-group type: No. 225
! E_tot (eV per atom): -9.72
&SYSTEM
  ibrav = 0, nat = 4, ntyp = 3
/
ATOMIC_SPECIES
Zr 91.22 Zr.upf
Ir 192.22 Ir.upf
Os 190.23 Os.upf
ATOMIC_POSITIONS crystal
Zr 0.0000 0.0000 0.0000
Ir 0.5000 0.5000 0.5000
Os 0.2500 0.2500 0.2500
Os 0.7500 0.7500 0.7500
CELL_PARAMETERS angstrom
0.0000 3.1876 3.1876
3.1876 0.0000 3.1876
3.1876 3.1876 0.0000

---

No. 11
! Zr3IrOs2 | the Alexandria database | GGA-PBE | optimized geometry; values from VASP
! Crystal system: tetragonal
! ΔE_f (eV per atom): -0.605
! Density of states at the Fermi level (states/eV per atom): 0.38
! Space-group type: No. 123
! E_tot (eV per atom): -10.10
&SYSTEM
  ibrav = 0, nat = 6, ntyp = 3
/
ATOMIC_SPECIES
Zr 91.22 Zr.upf
Ir 192.22 Ir.upf
Os 190.23 Os.upf
ATOMIC_POSITIONS crystal
Zr 0.0000 0.0000 0.0000
Zr 0.0000 0.0000 0.3334
Zr 0.0000 0.0000 0.6666
Ir 0.5000 0.5000 0.5000
Os 0.5000 0.5000 0.1678
Os 0.5000 0.5000 0.8322
CELL_PARAMETERS angstrom
3.3025 0.0000 0.0000
0.0000 3.3025 0.0000
0.0000 0.0000 9.8080

---

No. 12
! ZrIr2Os2 | the Alexandria database | GGA-PBE | optimized geometry; values from VASP
! Crystal system: tetragonal
! ΔE_f (eV per atom): -0.098
! Density of states at the Fermi level (states/eV per atom): 1.14
! Polymorph energy (0 for the lowest one) (eV/atom): 0.022
! Space-group type: No. 127
! E_tot (eV per atom): -9.84
&SYSTEM
  ibrav = 0, nat = 10, ntyp = 3
/
ATOMIC_SPECIES
Zr 91.22 Zr.upf
Ir 192.22 Ir.upf
Os 190.23 Os.upf
ATOMIC_POSITIONS crystal
Zr 0.0000 0.0000 0.0000
Zr 0.5000 0.5000 0.0000
Ir 0.1232 0.3768 0.0000
Ir 0.3768 0.8768 0.0000
Ir 0.6232 0.1232 0.0000
Ir 0.8768 0.6232 0.0000
Os 0.1747 0.6747 0.5000
Os 0.3253 0.1747 0.5000
Os 0.6747 0.8253 0.5000
Os 0.8253 0.3253 0.5000
CELL_PARAMETERS angstrom
7.6089 0.0000 0.0000
0.0000 7.6089 0.0000
0.0000 0.0000 2.7901